1.
PBE CaAs2Se, optimized geometry; VASP energy = -4.01 eV/atom; size of the total moment = 0.000 μB/f.u.; formation energy (no corrections) = -1.26 eV/f.u.
1.0
-0.367 -3.732 3.334
2.637 -4.218 -0.655
3.859 -1.043 3.033
Se As Ca
1 2 1
Cartesian
4.597 -6.744 4.284
1.532 -2.248 1.428
0.000 0.000 0.000
3.064 -4.496 2.856



2.
PBE NdMgTlSn, optimized geometry; ΔE_f = -437.8 meV per atom; VASP energy = -3.62 eV/atom; size of the total moment = 0.000 μB/f.u.; excess energy over the best structure of this formula in the dataset = 0 meV per atom
1.0
4.504 0.000 0.000
0.000 4.752 0.000
0.000 0.000 4.945
Sn Nd Mg Tl
1 1 1 1
Cartesian
0.000 0.000 0.000
2.252 2.376 0.000
2.252 0.000 2.473
0.000 2.376 2.473



3.
PBE Tb4Pm8Mg, optimized geometry; ΔE_f = 495.3 meV per atom; VASP energy = -3.98 eV/atom; size of the total moment = 0.000 μB/f.u.
1.0
9.735 -0.001 -5.252
-6.284 9.103 -0.001
-2.356 -1.626 7.280
Pm Tb Mg
8 4 1
Cartesian
-5.321 6.476 1.783
3.210 5.645 0.244
-0.402 6.443 -0.746
1.496 1.033 2.773
2.652 1.831 -0.789
-1.558 5.645 2.816
-2.116 1.831 1.783
6.416 1.000 0.244
-3.142 4.551 0.000
0.000 0.000 0.000
4.867 0.000 -2.626
1.725 4.551 -2.626
-4.320 3.738 3.640



Among the records above, which one has the lowest VASP energy?
CaAs2Se



Please write out number 3 again, unchanged.
PBE Tb4Pm8Mg, optimized geometry; ΔE_f = 495.3 meV per atom; VASP energy = -3.98 eV/atom; size of the total moment = 0.000 μB/f.u.
1.0
9.735 -0.001 -5.252
-6.284 9.103 -0.001
-2.356 -1.626 7.280
Pm Tb Mg
8 4 1
Cartesian
-5.321 6.476 1.783
3.210 5.645 0.244
-0.402 6.443 -0.746
1.496 1.033 2.773
2.652 1.831 -0.789
-1.558 5.645 2.816
-2.116 1.831 1.783
6.416 1.000 0.244
-3.142 4.551 0.000
0.000 0.000 0.000
4.867 0.000 -2.626
1.725 4.551 -2.626
-4.320 3.738 3.640



Repeat the first record exactly.
PBE CaAs2Se, optimized geometry; VASP energy = -4.01 eV/atom; size of the total moment = 0.000 μB/f.u.; formation energy (no corrections) = -1.26 eV/f.u.
1.0
-0.367 -3.732 3.334
2.637 -4.218 -0.655
3.859 -1.043 3.033
Se As Ca
1 2 1
Cartesian
4.597 -6.744 4.284
1.532 -2.248 1.428
0.000 0.000 0.000
3.064 -4.496 2.856